Compound: Ac5Tb2Nd2
Source: the Alexandria database
Functional: PBE-GGA
Structure: relaxed

For the magnetic moment, the calculation gives 0.000 μB per formula unit. The value obtained for the energy of formation is 49 meV/atom. The calculation puts the total DFT energy (no corrections) at -4.32 eV per atom. Its density of states at the Fermi level is 15.19 states/eV per cell. As for the crystal system: triclinic.

```
data_Ac5Tb2Nd2
_chemical_formula_sum 'Ac5 Tb2 Nd2'
_space_group_name_H-M_alt 'P -1'
_space_group_IT_number 2
_cell_length_a 6.607
_cell_length_b 6.625
_cell_length_c 8.602
_cell_angle_alpha 82.37
_cell_angle_beta 74.92
_cell_angle_gamma 80.13
loop_
_space_group_symop_operation_xyz
'x,y,z'
'-x,-y,-z'
loop_
_atom_site_label
_atom_site_type_symbol
_atom_site_fract_x
_atom_site_fract_y
_atom_site_fract_z
_atom_site_occupancy
Ac1 Ac 0.000 0.000 0.000 1
Ac2 Ac 0.328 0.665 0.672 1
Ac3 Ac 0.437 0.889 0.224 1
Tb1 Tb 0.223 0.449 0.111 1
Nd1 Nd 0.110 0.230 0.550 1
```

***

Compound: Ac2Tb7Nd4
Source: the Alexandria database
Functional: PBE-GGA
Structure: relaxed

For the magnetic moment, the calculation gives 0.000 μB per formula unit. The value obtained for the energy of formation is 185 meV/atom. The calculation puts the total DFT energy (no corrections) at -4.41 eV per atom. Its density of states at the Fermi level is 19.54 states/eV per cell. As for the crystal system: trigonal.

```
data_Ac2Tb7Nd4
_chemical_formula_sum 'Ac2 Tb7 Nd4'
_space_group_name_H-M_alt 'P -3 1 m'
_space_group_IT_number 162
_space_group_name_Hall '-P 3 2'
_cell_length_a 6.2591
_cell_length_b 6.2591
_cell_length_c 13.5821
_cell_angle_alpha 90.00
_cell_angle_beta 90.00
_cell_angle_gamma 120.00
loop_
_atom_site_label
_atom_site_type_symbol
_atom_site_fract_x
_atom_site_fract_y
_atom_site_fract_z
_atom_site_occupancy
Ac1 Ac 0.3333 0.6667 0.0000 1
Tb1 Tb 0.0000 0.0000 0.0000 1
Tb2 Tb 0.0000 0.3558 0.7822 1
Nd1 Nd 0.0000 0.0000 0.3932 1
Nd2 Nd 0.3333 0.6667 0.5000 1
```